(1)
AcMg2Au: relaxed, GGA-PBE.

Calculated values
Raw total energy (eV/f.u.): -11.62
Offset from the most stable computed form (meV per atom): 246
M_tot (μB per formula unit): 0.0
Energy of formation from the pure elements (eV per atom): -0.262

a = 4.5231 Å, b = 4.5231 Å, c = 5.4162 Å
α = 90.00°, β = 90.00°, γ = 90.00°
With the nearest neighbours (Å) after each atom.
Space group P4/mmm (No. 123)
Symmetry-distinct sites (fractional):
Ac1 0.0000 0.0000 0.0000 (multiplicity 1)  4 Au 3.20, 8 Mg 3.53
Mg1 0.0000 0.5000 0.5000 (multiplicity 2)  4 Mg 3.20, 4 Ac 3.53, 4 Au 3.53
Au1 0.5000 0.5000 0.0000 (multiplicity 1)  4 Ac 3.20, 8 Mg 3.53

(2)
Mn2CdCoN: relaxed, GGA-PBE.

Calculated values
Raw total energy (eV/f.u.): -34.95
Offset from the most stable computed form (meV per atom): 0
M_tot (μB per formula unit): 7.3
Uncorrected formation energy (eV/atom): -0.05

a = 4.0115 Å, b = 4.0115 Å, c = 3.8728 Å
α = 90.00°, β = 90.00°, γ = 90.00°
With the nearest neighbours (Å) after each atom.
Space group P4/mmm (No. 123)
Symmetry-distinct sites (fractional):
Mn1 0.0000 0.5000 0.0000 (multiplicity 2)  2 N 2.01
Cd1 0.0000 0.0000 0.5000 (multiplicity 1)  8 Mn 2.79, 4 Co 2.84
Co1 0.5000 0.5000 0.5000 (multiplicity 1)  2 N 1.94
N1 0.5000 0.5000 0.0000 (multiplicity 1)  2 Co 1.94, 4 Mn 2.01